Below is an optimized crystal structure of SiPd2N, with properties calculated at the PBE level.

Results
The calculation puts the energy relative to the lowest polymorph listed for this composition at 149 meV per atom. The value obtained for the density of states at the Fermi level is 4.908 states/eV per cell. For the uncorrected formation energy, the calculation gives 0.54 eV/atom. Its symmetry is Fm-3m (225).

abc: 4.1423 4.1423 4.1423
angles: 60.00 60.00 60.00
Last column: nearest neighbours and their distance in Å.
Sites, in units of the cell vectors:
Si 0.0000 0.0000 0.0000  8 Pd 2.54
Pd 0.2500 0.2500 0.2500  4 N 2.54, 4 Si 2.54
Pd 0.7500 0.7500 0.7500  4 N 2.54, 4 Si 2.54
N 0.5000 0.5000 0.5000  8 Pd 2.54